No. 1
TiZn2Mo | PBE-GGA | relaxed

Unit cell a=4.190 b=3.780 c=3.780 alpha=90.00 beta=90.00 gamma=90.00
Positions (direct):
Mo 0.500 0.000 0.000
Zn 0.000 0.000 0.500
Zn 0.000 0.500 0.000
Ti 0.500 0.500 0.500

Properties
- Symmetry: P4/mmm, No. 123
- ΔE_f: -0.42 eV/f.u.

***

No. 2
Ti3ZnMo | PBE-GGA | relaxed

Unit cell a=4.353 b=4.365 c=8.674 alpha=90.00 beta=75.48 gamma=90.00
Positions (direct):
Ti 0.151 0.344 0.416
Ti 0.956 0.344 0.807
Ti 0.650 0.844 0.418
Ti 0.761 0.344 0.197
Ti 0.260 0.844 0.199
Ti 0.455 0.844 0.807
Zn 0.859 0.844 0.000
Zn 0.552 0.344 0.614
Mo 0.359 0.344 0.000
Mo 0.052 0.844 0.615

Properties
- Symmetry: Cmcm, No. 63
- ΔE_f: -0.66 eV/f.u.

***

No. 3
Ti6ZnMo | PBE-GGA | relaxed

Unit cell a=4.318 b=4.318 c=7.679 alpha=73.67 beta=73.67 gamma=90.00
Positions (direct):
Ti 0.747 0.747 0.506
Ti 0.617 0.117 0.766
Ti 0.117 0.617 0.766
Ti 0.383 0.883 0.234
Ti 0.253 0.253 0.494
Ti 0.883 0.383 0.234
Zn 0.000 0.000 0.000
Mo 0.500 0.500 0.000

Properties
- Symmetry: I4/mmm, No. 139
- ΔE_f: -0.58 eV/f.u.

***

No. 4
TiZnMo3 | PBE-GGA | relaxed

Unit cell a=4.561 b=4.561 c=4.561 alpha=90.00 beta=90.00 gamma=90.00
Positions (direct):
Mo 0.000 0.500 0.000
Mo 0.000 0.000 0.500
Mo 0.500 0.000 0.000
Zn 0.500 0.500 0.500
Ti 0.000 0.000 0.000

Properties
- Symmetry: Pm-3m, No. 221
- ΔE_f: 7.29 eV/f.u.

***

No. 5
TiZn4Mo | PBE-GGA | relaxed

Unit cell a=4.970 b=4.970 c=4.970 alpha=60.00 beta=60.00 gamma=60.00
Positions (direct):
Mo 0.000 0.000 0.000
Zn 0.625 0.625 0.124
Zn 0.625 0.124 0.625
Zn 0.625 0.625 0.625
Zn 0.124 0.625 0.625
Ti 0.250 0.250 0.250

Properties
- Symmetry: F-43m, No. 216
- ΔE_f: -0.53 eV/f.u.

***

No. 6
TiZn2Mo | PBE-GGA | relaxed

Unit cell a=2.772 b=2.772 c=9.497 alpha=81.61 beta=81.61 gamma=60.00
Positions (direct):
Mo 0.000 0.000 0.000
Zn 0.749 0.749 0.753
Zn 0.251 0.251 0.247
Ti 0.500 0.500 0.500

Properties
- Symmetry: R-3m, No. 166
- ΔE_f: 0.40 eV/f.u.